Record 1
The following is a DFT calculation (PBE-GGA) of an optimized crystal structure of CoIr2Pb.

```
data_CoIr2Pb
_cell_length_a 4.6105
_cell_length_b 4.6105
_cell_length_c 5.2740
_cell_angle_alpha 79.90
_cell_angle_beta 79.90
_cell_angle_gamma 37.09
_symmetry_space_group_name_H-M 'P 1'
_symmetry_Int_Tables_number 1
_symmetry_space_group_name_Hall 'P 1'
loop_
_atom_site_label
_atom_site_fract_x
_atom_site_fract_y
_atom_site_fract_z
Co1 0.7427 0.7427 0.8016
Ir1 0.0028 0.0028 0.9903
Ir2 0.2572 0.2572 0.1963
Pb1 0.4972 0.4972 0.5118
```

Output
The calculation puts the theoretical density at 16.26 g/cm³. For the energy relative to the elements, the calculation gives 0.4510 eV/atom. As for the density of states at the Fermi level: 4.74 states/eV/cell.

Record 2
The following is a DFT calculation (PBE-GGA) of an optimized crystal structure of CoIr2Pb.

```
data_CoIr2Pb
_cell_length_a 5.4417
_cell_length_b 5.4417
_cell_length_c 5.4417
_cell_angle_alpha 148.89
_cell_angle_beta 128.66
_cell_angle_gamma 61.26
_symmetry_space_group_name_H-M 'P 1'
_symmetry_Int_Tables_number 1
_symmetry_space_group_name_Hall 'P 1'
loop_
_atom_site_label
_atom_site_fract_x
_atom_site_fract_y
_atom_site_fract_z
Co1 0.2387 0.7387 0.5000
Ir1 0.0140 0.0140 0.0000
Ir2 0.7577 0.2577 0.5000
Pb1 0.4896 0.4896 0.0000
```

Output
The calculation puts the theoretical density at 16.77 g/cm³. For the energy relative to the elements, the calculation gives 0.6295 eV/atom. As for the density of states at the Fermi level: 6.10 states/eV/cell.

Please write out number 1 again, unchanged.
The following is a DFT calculation (PBE-GGA) of an optimized crystal structure of CoIr2Pb.

```
data_CoIr2Pb
_cell_length_a 4.6105
_cell_length_b 4.6105
_cell_length_c 5.2740
_cell_angle_alpha 79.90
_cell_angle_beta 79.90
_cell_angle_gamma 37.09
_symmetry_space_group_name_H-M 'P 1'
_symmetry_Int_Tables_number 1
_symmetry_space_group_name_Hall 'P 1'
loop_
_atom_site_label
_atom_site_fract_x
_atom_site_fract_y
_atom_site_fract_z
Co1 0.7427 0.7427 0.8016
Ir1 0.0028 0.0028 0.9903
Ir2 0.2572 0.2572 0.1963
Pb1 0.4972 0.4972 0.5118
```

Output
The calculation puts the theoretical density at 16.26 g/cm³. For the energy relative to the elements, the calculation gives 0.4510 eV/atom. As for the density of states at the Fermi level: 4.74 states/eV/cell.